Run a
The following is a PBE-GGA calculation of a geometry-optimized TaPdPb3 structure, from the Alexandria database.

Results
For the spin magnetization, the calculation gives 0.00 μB/f.u.

```
TaPdPb3
1.0
-3.437 -3.687 2.100
3.415 -4.008 -1.448
2.519 0.402 4.828
Pb Pd Ta
3 1 1
direct
0.000 0.500 0.000 Pb
0.000 0.000 0.500 Pb
0.500 0.000 0.000 Pb
0.500 0.500 0.500 Pd
0.000 0.000 0.000 Ta
```

Run b
The following is a PBE-GGA calculation of a geometry-optimized TaPdPb3 structure, from the Alexandria database.

Results
For the spin magnetization, the calculation gives 0.00 μB/f.u.

```
TaPdPb3
1.0
-0.491 3.162 4.166
1.421 -3.946 3.163
5.033 1.423 -0.487
Pb Pd Ta
3 1 1
direct
0.000 0.500 0.000 Pb
0.000 0.000 0.500 Pb
0.500 0.000 0.000 Pb
0.000 0.000 0.000 Pd
0.500 0.500 0.500 Ta
```

Q: Which of them is the most stable? A: run a.

Run a
The following is a PBE-GGA calculation of a geometry-optimized TbPd6Pb structure, from the Alexandria database.

Results
For the spin magnetization, the calculation gives 0.00 μB/f.u.

```
TbPd6Pb
1.0
4.133 0.000 0.000
0.000 4.133 0.000
0.000 0.000 8.201
Tb Pd Pb
1 6 1
direct
0.000 0.000 0.000 Tb
0.500 0.500 0.000 Pd
0.500 0.500 0.500 Pd
0.500 0.000 0.252 Pd
0.500 0.000 0.748 Pd
0.000 0.500 0.252 Pd
0.000 0.500 0.748 Pd
0.000 0.000 0.500 Pb
```

Run b
The following is a PBE-GGA calculation of a geometry-optimized TbPd6Pb structure, from the Alexandria database.

Results
For the spin magnetization, the calculation gives 0.00 μB/f.u.

```
TbPd6Pb
1.0
5.453 0.510 0.576
-0.089 5.476 0.576
-0.089 -0.099 5.505
Tb Pd Pb
1 6 1
direct
0.000 0.000 0.000 Tb
0.161 0.533 0.161 Pd
0.161 0.161 0.533 Pd
0.839 0.467 0.839 Pd
0.467 0.839 0.839 Pd
0.839 0.839 0.467 Pd
0.533 0.161 0.161 Pd
0.500 0.500 0.500 Pb
```

Q: Which of them is the most stable? A: run a.

Run a
The following is a PBE-GGA calculation of a geometry-optimized TePdPb structure, from the Alexandria database.

Results
For the spin magnetization, the calculation gives 0.00 μB/f.u.

```
TePdPb
1.0
-2.790 -2.702 2.096
-0.378 -3.952 -5.599
4.303 -1.959 3.203
Te Pd Pb
2 2 2
direct
0.250 0.291 0.251 Te
0.750 0.709 0.749 Te
0.250 0.949 0.834 Pd
0.750 0.051 0.166 Pd
0.750 0.209 0.713 Pb
0.250 0.791 0.287 Pb
```

Run b
The following is a PBE-GGA calculation of a geometry-optimized TePdPb structure, from the Alexandria database.

Results
For the spin magnetization, the calculation gives 0.00 μB/f.u.

```
TePdPb
1.0
-1.533 -2.744 3.648
2.146 -4.214 0.910
2.725 -0.513 3.937
Pb Te Pd
1 1 1
direct
0.000 0.000 0.000 Pb
0.500 0.500 0.500 Te
0.250 0.250 0.250 Pd
```

Run c
The following is a PBE-GGA calculation of a geometry-optimized TePdPb structure, from the Alexandria database.

Results
For the spin magnetization, the calculation gives 0.00 μB/f.u.

```
TePdPb
1.0
4.576 0.000 0.000
0.000 4.526 0.000
0.000 -2.263 3.919
Pb Te Pd
1 1 1
direct
0.733 0.667 0.333 Pb
0.195 0.333 0.667 Te
0.072 0.000 0.000 Pd
```

Q: Which of them is the most stable? A: run b.

Run a
The following is a PBE-GGA calculation of a geometry-optimized TePd6Pb structure, from the Alexandria database.

Results
For the spin magnetization, the calculation gives 0.00 μB/f.u.

```
TePd6Pb
1.0
6.831 0.363 0.063
3.757 6.815 0.051
3.551 2.452 3.215
Te Pd Pb
1 6 1
direct
0.500 0.500 0.500 Te
0.966 0.468 0.812 Pd
0.746 0.919 0.772 Pd
0.469 0.252 0.345 Pd
0.254 0.081 0.228 Pd
0.034 0.532 0.188 Pd
0.531 0.748 0.655 Pd
0.000 0.000 0.000 Pb
```

Run b
The following is a PBE-GGA calculation of a geometry-optimized TePd6Pb structure, from the Alexandria database.

Results
For the spin magnetization, the calculation gives 0.00 μB/f.u.

```
TePd6Pb
1.0
4.096 0.000 0.000
0.000 4.096 0.000
0.000 0.000 8.216
Te Pd Pb
1 6 1
direct
0.000 0.000 0.000 Te
0.500 0.500 0.000 Pd
0.500 0.500 0.500 Pd
0.500 0.000 0.248 Pd
0.500 0.000 0.752 Pd
0.000 0.500 0.248 Pd
0.000 0.500 0.752 Pd
0.000 0.000 0.500 Pb
```

Q: Which of them is the most stable? A: run b.

Run a
The following is a PBE-GGA calculation of a geometry-optimized TePd2Pb2 structure, from the Alexandria database.

Results
For the spin magnetization, the calculation gives 0.00 μB/f.u.

```
TePd2Pb2
1.0
8.650 0.000 0.000
0.000 8.650 0.000
0.000 0.000 3.206
Pb Te Pd
4 2 4
direct
0.332 0.832 0.000 Pb
0.832 0.668 0.000 Pb
0.668 0.168 0.000 Pb
0.168 0.332 0.000 Pb
0.000 0.000 0.000 Te
0.500 0.500 0.000 Te
0.117 0.617 0.500 Pd
0.617 0.883 0.500 Pd
0.883 0.383 0.500 Pd
0.383 0.117 0.500 Pd
```

Run b
The following is a PBE-GGA calculation of a geometry-optimized TePd2Pb2 structure, from the Alexandria database.

Results
For the spin magnetization, the calculation gives 0.00 μB/f.u.

```
TePd2Pb2
1.0
-2.996 0.021 -2.600
2.563 -0.651 -2.957
-1.101 -8.141 -1.823
Pb Te Pd
2 1 2
direct
0.383 0.383 0.234 Pb
0.617 0.617 0.766 Pb
0.000 0.000 0.000 Te
0.750 0.250 0.500 Pd
0.250 0.750 0.500 Pd
```

Run c
The following is a PBE-GGA calculation of a geometry-optimized TePd2Pb2 structure, from the Alexandria database.

Results
For the spin magnetization, the calculation gives 0.00 μB/f.u.

```
TePd2Pb2
1.0
-2.198 -2.280 -2.189
-3.592 -3.853 4.233
-7.249 6.781 -3.168
Te Pd Pb
2 4 4
direct
0.606 0.125 0.662 Te
0.394 0.875 0.338 Te
0.104 0.279 0.513 Pd
0.616 0.911 0.858 Pd
0.896 0.721 0.487 Pd
0.384 0.089 0.142 Pd
0.653 0.369 0.324 Pb
0.890 0.254 0.966 Pb
0.347 0.631 0.676 Pb
0.110 0.746 0.034 Pb
```

Q: Which of them is the most stable? A: run c.

Run a
The following is a PBE-GGA calculation of a geometry-optimized TePd4Pb structure, from the Alexandria database.

Results
For the spin magnetization, the calculation gives 0.00 μB/f.u.

```
TePd4Pb
1.0
-2.703 -4.698 0.469
0.845 -0.958 -4.726
8.063 -1.072 4.180
Te Pd Pb
2 8 2
direct
0.500 0.000 0.500 Te
0.000 0.500 0.500 Te
0.575 0.161 0.821 Pd
0.754 0.339 0.179 Pd
0.425 0.839 0.179 Pd
0.246 0.661 0.821 Pd
0.006 0.084 0.667 Pd
0.339 0.416 0.333 Pd
0.994 0.916 0.333 Pd
0.661 0.584 0.667 Pd
0.790 0.750 0.000 Pb
0.210 0.250 0.000 Pb
```

Run b
The following is a PBE-GGA calculation of a geometry-optimized TePd4Pb structure, from the Alexandria database.

Results
For the spin magnetization, the calculation gives 0.00 μB/f.u.

```
TePd4Pb
1.0
-0.803 -3.976 0.408
2.854 0.044 6.036
-14.765 3.696 6.953
Te Pd Pb
4 16 4
direct
0.750 0.201 0.454 Te
0.250 0.799 0.546 Te
0.250 0.299 0.954 Te
0.750 0.701 0.046 Te
0.750 0.929 0.642 Pd
0.250 0.071 0.358 Pd
0.250 0.571 0.142 Pd
0.750 0.429 0.858 Pd
0.750 0.782 0.411 Pd
0.250 0.218 0.589 Pd
0.250 0.718 0.911 Pd
0.750 0.282 0.089 Pd
0.750 0.033 0.940 Pd
0.250 0.967 0.060 Pd
0.250 0.467 0.440 Pd
0.750 0.533 0.560 Pd
0.750 0.877 0.195 Pd
0.250 0.123 0.805 Pd
0.250 0.623 0.695 Pd
0.750 0.377 0.305 Pd
0.750 0.814 0.798 Pb
0.250 0.186 0.202 Pb
0.250 0.686 0.298 Pb
0.750 0.314 0.702 Pb
```

Q: Which of them is the most stable? A: run a.

Run a
The following is a PBE-GGA calculation of a geometry-optimized ThPdPb2 structure, from the Alexandria database.

Results
For the spin magnetization, the calculation gives 0.00 μB/f.u.

```
ThPdPb2
1.0
-0.081 2.690 2.161
-2.452 2.406 -0.331
-7.222 -3.880 7.316
Pb Pd Th
2 1 1
direct
0.103 0.103 0.692 Pb
0.897 0.897 0.308 Pb
0.500 0.500 0.500 Pd
0.000 0.000 0.000 Th
```

Run b
The following is a PBE-GGA calculation of a geometry-optimized ThPdPb2 structure, from the Alexandria database.

Results
For the spin magnetization, the calculation gives 0.00 μB/f.u.

```
ThPdPb2
1.0
-3.138 -3.518 -0.115
3.141 -2.866 1.967
-1.537 1.232 4.250
Pb Pd Th
2 1 1
direct
0.000 0.000 0.500 Pb
0.000 0.500 0.000 Pb
0.500 0.000 0.000 Pd
0.500 0.500 0.500 Th
```

Q: Which of them is the most stable? A: run b.

Run a
The following is a PBE-GGA calculation of a geometry-optimized TlPd6Pb structure, from the Alexandria database.

Results
For the spin magnetization, the calculation gives 0.00 μB/f.u.

```
TlPd6Pb
1.0
4.679 0.000 0.000
0.000 5.137 -2.747
0.000 -0.189 5.822
Tl Pd Pb
1 6 1
direct
0.000 0.083 0.917 Tl
0.000 0.077 0.413 Pd
0.000 0.587 0.923 Pd
0.000 0.587 0.413 Pd
0.500 0.422 0.086 Pd
0.500 0.914 0.578 Pd
0.500 0.914 0.086 Pd
0.500 0.417 0.583 Pb
```

Run b
The following is a PBE-GGA calculation of a geometry-optimized TlPd6Pb structure, from the Alexandria database.

Results
For the spin magnetization, the calculation gives 0.00 μB/f.u.

```
TlPd6Pb
1.0
4.097 0.000 0.000
0.000 4.097 0.000
0.000 0.000 8.190
Tl Pd Pb
1 6 1
direct
0.000 0.000 0.000 Tl
0.500 0.500 0.000 Pd
0.500 0.500 0.500 Pd
0.500 0.000 0.250 Pd
0.500 0.000 0.750 Pd
0.000 0.500 0.250 Pd
0.000 0.500 0.750 Pd
0.000 0.000 0.500 Pb
```

Q: Which of them is the most stable? A: run b.

Run a
The following is a PBE-GGA calculation of a geometry-optimized TlPd4Pb structure, from the Alexandria database.

Results
For the spin magnetization, the calculation gives 0.00 μB/f.u.

```
TlPd4Pb
1.0
-1.673 2.022 -1.826
-3.685 -6.053 -3.327
-12.547 0.822 12.402
Tl Pd Pb
4 16 4
direct
0.750 0.242 0.441 Tl
0.250 0.758 0.559 Tl
0.250 0.258 0.941 Tl
0.750 0.742 0.059 Tl
0.750 0.896 0.674 Pd
0.250 0.104 0.326 Pd
0.250 0.604 0.174 Pd
0.750 0.396 0.826 Pd
0.750 0.884 0.437 Pd
0.250 0.116 0.563 Pd
0.250 0.616 0.937 Pd
0.750 0.384 0.063 Pd
0.750 0.958 0.933 Pd
0.250 0.042 0.067 Pd
0.250 0.542 0.433 Pd
0.750 0.458 0.567 Pd
0.750 0.936 0.200 Pd
0.250 0.064 0.800 Pd
0.250 0.564 0.700 Pd
0.750 0.436 0.300 Pd
0.750 0.745 0.812 Pb
0.250 0.255 0.188 Pb
0.250 0.755 0.312 Pb
0.750 0.245 0.688 Pb
```

Run b
The following is a PBE-GGA calculation of a geometry-optimized TlPd4Pb structure, from the Alexandria database.

Results
For the spin magnetization, the calculation gives 0.00 μB/f.u.

```
TlPd4Pb
1.0
-3.039 -3.260 -3.157
-4.242 -2.693 2.140
-5.099 1.450 -1.313
Pb Tl Pd
1 1 4
direct
0.250 0.250 0.250 Pb
0.000 0.000 0.000 Tl
0.625 0.625 0.125 Pd
0.625 0.125 0.625 Pd
0.625 0.625 0.625 Pd
0.125 0.625 0.625 Pd
```

Run c
The following is a PBE-GGA calculation of a geometry-optimized TlPd4Pb structure, from the Alexandria database.

Results
For the spin magnetization, the calculation gives 0.00 μB/f.u.

```
TlPd4Pb
1.0
-2.625 0.213 -4.356
2.345 -8.091 -1.809
-3.532 -1.743 3.217
Tl Pd Pb
2 8 2
direct
0.500 0.000 0.500 Tl
0.000 0.500 0.500 Tl
0.007 0.668 0.003 Pd
0.493 0.168 0.997 Pd
0.500 0.331 0.498 Pd
0.000 0.831 0.502 Pd
0.993 0.332 0.997 Pd
0.507 0.832 0.003 Pd
0.500 0.669 0.502 Pd
0.000 0.169 0.498 Pd
0.000 0.000 0.000 Pb
0.500 0.500 0.000 Pb
```

Q: Which of them is the most stable? A: run a.

Run a
The following is a PBE-GGA calculation of a geometry-optimized TlPd2Pb2 structure, from the Alexandria database.

Results
For the spin magnetization, the calculation gives 0.00 μB/f.u.

```
TlPd2Pb2
1.0
4.742 0.000 0.000
0.000 4.742 0.000
2.371 2.371 5.753
Pb Tl Pd
2 1 2
direct
0.750 0.250 0.500 Pb
0.250 0.750 0.500 Pb
0.000 0.000 0.000 Tl
0.383 0.383 0.233 Pd
0.617 0.617 0.767 Pd
```

Run b
The following is a PBE-GGA calculation of a geometry-optimized TlPd2Pb2 structure, from the Alexandria database.

Results
For the spin magnetization, the calculation gives 0.01 μB/f.u.

```
TlPd2Pb2
1.0
8.440 0.000 0.000
0.000 8.440 0.000
0.000 0.000 3.302
Pb Tl Pd
4 2 4
direct
0.349 0.849 0.000 Pb
0.849 0.651 0.000 Pb
0.651 0.151 0.000 Pb
0.151 0.349 0.000 Pb
0.000 0.000 0.000 Tl
0.500 0.500 0.000 Tl
0.137 0.637 0.500 Pd
0.637 0.863 0.500 Pd
0.863 0.363 0.500 Pd
0.363 0.137 0.500 Pd
```

Run c
The following is a PBE-GGA calculation of a geometry-optimized TlPd2Pb2 structure, from the Alexandria database.

Results
For the spin magnetization, the calculation gives 0.00 μB/f.u.

```
TlPd2Pb2
1.0
3.347 0.003 1.423
1.043 6.764 2.183
-0.307 0.501 5.366
Tl Pd Pb
1 2 2
direct
0.500 0.500 0.000 Tl
0.025 0.186 0.264 Pd
0.975 0.814 0.736 Pd
0.314 0.165 0.707 Pb
0.686 0.835 0.293 Pb
```

Q: Which of them is the most stable? A: run c.